(1)
# GGA-PBE BeIn2CoOs, relaxed
data_BeIn2CoOs
_space_group_name_H-M_alt 'P 4/m m m'
_space_group_IT_number 123
_space_group_name_Hall '-P 4 2'
_cell_length_a 4.7739
_cell_length_b 4.7739
_cell_length_c 3.8223
_cell_angle_alpha 90.00
_cell_angle_beta 90.00
_cell_angle_gamma 90.00
loop_
_atom_site_label
_atom_site_type_symbol
_atom_site_fract_x
_atom_site_fract_y
_atom_site_fract_z
Be1 Be 0.0000 0.0000 0.0000
In1 In 0.0000 0.5000 0.5000
Co1 Co 0.0000 0.0000 0.5000
Os1 Os 0.5000 0.5000 0.0000
# ΔE_f: 5.23 eV/f.u.
# total magnetic moment: 0.00 Bohr magnetons per cell
# total DFT energy (no corrections): -4.462 eV/atom

(2)
# GGA-PBE Fe2PdAuN, relaxed
data_Fe2PdAuN
_space_group_name_H-M_alt 'P 4/m m m'
_space_group_IT_number 123
_space_group_name_Hall '-P 4 2'
_cell_length_a 3.8867
_cell_length_b 3.8867
_cell_length_c 4.2626
_cell_angle_alpha 90.00
_cell_angle_beta 90.00
_cell_angle_gamma 90.00
loop_
_atom_site_label
_atom_site_type_symbol
_atom_site_fract_x
_atom_site_fract_y
_atom_site_fract_z
Fe1 Fe 0.0000 0.5000 0.0000
Pd1 Pd 0.0000 0.0000 0.5000
Au1 Au 0.5000 0.5000 0.5000
N1 N 0.0000 0.0000 0.0000
# total magnetic moment: 5.40 Bohr magnetons per cell
# formation energy from raw total energies: 28 meV/atom
# total DFT energy (no corrections): -6.716 eV/atom

(3)
# GGA-PBE ScIn4Pt, relaxed
data_ScIn4Pt
_space_group_name_H-M_alt 'F -4 3 m'
_space_group_IT_number 216
_space_group_name_Hall 'F -4 2 3'
_cell_length_a 8.2446
_cell_length_b 8.2446
_cell_length_c 8.2446
_cell_angle_alpha 90.00
_cell_angle_beta 90.00
_cell_angle_gamma 90.00
loop_
_atom_site_label
_atom_site_type_symbol
_atom_site_fract_x
_atom_site_fract_y
_atom_site_fract_z
Sc1 Sc 0.0000 0.0000 0.0000
In1 In 0.1251 0.1251 0.6251
Pt1 Pt 0.2500 0.2500 0.2500
# ΔE_f: 1.09 eV/f.u.
# total magnetic moment: 0.00 Bohr magnetons per cell
# total DFT energy (no corrections): -3.706 eV/atom

(4)
# GGA-PBE CsAgClF, relaxed
data_CsAgClF
_space_group_name_H-M_alt 'P 63 m c'
_space_group_IT_number 186
_space_group_name_Hall 'P 6c -2c'
_cell_length_a 4.4833
_cell_length_b 4.4833
_cell_length_c 13.7021
_cell_angle_alpha 90.00
_cell_angle_beta 90.00
_cell_angle_gamma 120.00
loop_
_atom_site_label
_atom_site_type_symbol
_atom_site_fract_x
_atom_site_fract_y
_atom_site_fract_z
Cs1 Cs 0.3333 0.6667 0.0000
Ag1 Ag 0.0000 0.0000 0.2516
Cl1 Cl 0.3333 0.6667 0.7006
F1 F 0.0000 0.0000 0.4200
# total magnetic moment: 0.00 Bohr magnetons per cell
# formation energy from raw total energies: -1543 meV/atom
# total DFT energy (no corrections): -3.399 eV/atom

(5)
# GGA-PBE Hf2MnCrCu, relaxed
data_Hf2MnCrCu
_space_group_name_H-M_alt 'P 4/m m m'
_space_group_IT_number 123
_space_group_name_Hall '-P 4 2'
_cell_length_a 4.6500
_cell_length_b 4.6500
_cell_length_c 4.6026
_cell_angle_alpha 90.00
_cell_angle_beta 90.00
_cell_angle_gamma 90.00
loop_
_atom_site_label
_atom_site_type_symbol
_atom_site_fract_x
_atom_site_fract_y
_atom_site_fract_z
Hf1 Hf 0.0000 0.5000 0.0000
Mn1 Mn 0.0000 0.0000 0.5000
Cr1 Cr 0.5000 0.5000 0.0000
Cu1 Cu 0.5000 0.5000 0.5000
# ΔE_f: 4.40 eV/f.u.
# total magnetic moment: 4.02 Bohr magnetons per cell
# total DFT energy (no corrections): -7.680 eV/atom

(6)
# GGA-PBE Np2RuPt, relaxed
data_Np2RuPt
_space_group_name_H-M_alt 'P 4/m m m'
_space_group_IT_number 123
_space_group_name_Hall '-P 4 2'
_cell_length_a 3.3187
_cell_length_b 3.3187
_cell_length_c 7.2935
_cell_angle_alpha 90.00
_cell_angle_beta 90.00
_cell_angle_gamma 90.00
loop_
_atom_site_label
_atom_site_type_symbol
_atom_site_fract_x
_atom_site_fract_y
_atom_site_fract_z
Np1 Np 0.0000 0.0000 0.2417
Ru1 Ru 0.5000 0.5000 0.0000
Pt1 Pt 0.5000 0.5000 0.5000
# ΔE_f: -0.78 eV/f.u.
# total magnetic moment: 7.47 Bohr magnetons per cell
# total DFT energy (no corrections): -10.495 eV/atom